VASP calculation (PBE+U) on a relaxed KTl2MoF8 crystal.

The structure in CIF format:
```
data_KTl2MoF8
_chemical_formula_sum 'K1 Tl2 Mo1 F8'
_symmetry_space_group_name_H-M 'P -1'
_symmetry_Int_Tables_number 2
_symmetry_space_group_name_Hall '-P 1'
_cell_length_a 4.9347
_cell_length_b 6.6632
_cell_length_c 8.0577
_cell_angle_alpha 90.01
_cell_angle_beta 90.18
_cell_angle_gamma 95.18
loop_
_atom_site_label
_atom_site_type_symbol
_atom_site_fract_x
_atom_site_fract_y
_atom_site_fract_z
_atom_site_occupancy
K1 K 0.0000 0.0000 0.0000 1
Tl1 Tl 0.5002 0.5000 0.2377 1
Mo1 Mo 0.0000 0.0000 0.5000 1
F1 F 0.1074 0.8226 0.3239 1
F2 F 0.1086 0.8231 0.6764 1
F3 F 0.3403 0.1550 0.5001 1
F4 F 0.4030 0.2753 0.9998 1
```

Output
Magnetic moment (μB/f.u.): 1.0
Final energy (eV per cell): -55.593